# 1
Material: AlCo2Rh
Method: DFT, GGA-PBE
State: optimized geometry

The structure in POSCAR format:
```
AlCo2Rh
1.0
2.890 0.000 0.000
0.000 2.901 0.000
0.000 0.000 5.903
Al Co Rh
1 2 1
direct
0.000 0.000 0.000
0.000 0.000 0.533
0.500 0.500 0.755
0.500 0.500 0.255
```

Properties
Its density of states at the Fermi level is 1.03 states/eV per atom. Its total energy is -6.6623 eV/atom.

---

# 2
Material: Al4Co3Rh
Method: DFT, GGA-PBE
State: optimized geometry

The structure in POSCAR format:
```
Al4Co3Rh
1.0
2.901 0.000 0.000
0.000 2.901 0.000
0.000 0.000 11.518
Al Co Rh
4 3 1
direct
0.000 0.000 0.122
0.000 0.000 0.364
0.000 0.000 0.636
0.000 0.000 0.878
0.500 0.500 0.000
0.500 0.500 0.244
0.500 0.500 0.756
0.500 0.500 0.500
```

Properties
Its density of states at the Fermi level is 0.49 states/eV per atom. Its total energy is -6.1721 eV/atom.

---

# 3
Material: Al3CoRh
Method: DFT, GGA-PBE
State: optimized geometry

The structure in POSCAR format:
```
Al3CoRh
1.0
4.336 0.000 0.000
0.000 4.336 0.000
0.000 0.000 4.336
Al Co Rh
3 1 1
direct
0.000 0.000 0.500
0.000 0.500 0.000
0.500 0.000 0.000
0.000 0.000 0.000
0.500 0.500 0.500
```

Properties
Its density of states at the Fermi level is 0.82 states/eV per atom. Its total energy is -5.0911 eV/atom.

---

# 4
Material: AlCo3Rh
Method: DFT, GGA-PBE
State: optimized geometry

The structure in POSCAR format:
```
AlCo3Rh
1.0
4.507 0.000 0.000
0.000 4.507 0.000
0.000 0.000 4.507
Al Co Rh
1 3 1
direct
0.000 0.000 0.000
0.000 0.500 0.500
0.500 0.000 0.500
0.500 0.500 0.000
0.500 0.500 0.500
```

Properties
Its density of states at the Fermi level is 1.13 states/eV per atom. Its total energy is -5.2462 eV/atom.

---

| no. | mass density (g/cm³) |
| --- | --- |
| 1 | 8.310 |
| 2 | 6.639 |
| 3 | 4.946 |
| 4 | 5.564 |